The following is a PBE with a Hubbard U calculation of an optimized crystal structure of ZnFe2O4, from Alexandria via LeMat-Bulk.

Values from the calculation:
- calculated total energy (Ry/atom) = -0.4171
- ΔE to the lowest computed polymorph (eV/f.u.) = 2.11
- space group = P2_12_12, No. 18

a b c (Å): 5.950 10.209 5.021
angles (deg): 90.00 90.00 90.00
Sites, in units of the cell vectors:
Zn (0.000, 0.000, 0.080)
Zn (0.000, 0.500, 0.404)
Zn (0.500, 0.000, 0.596)
Zn (0.500, 0.500, 0.920)
Fe (0.107, 0.262, 0.995)
Fe (0.141, 0.755, 0.504)
Fe (0.359, 0.255, 0.496)
Fe (0.393, 0.762, 0.005)
Fe (0.607, 0.238, 0.005)
Fe (0.641, 0.745, 0.496)
Fe (0.859, 0.245, 0.504)
Fe (0.893, 0.738, 0.995)
O (0.107, 0.153, 0.317)
O (0.109, 0.353, 0.648)
O (0.134, 0.853, 0.852)
O (0.146, 0.641, 0.197)
O (0.354, 0.141, 0.803)
O (0.366, 0.353, 0.148)
O (0.391, 0.853, 0.352)
O (0.393, 0.653, 0.683)
O (0.607, 0.347, 0.683)
O (0.609, 0.147, 0.352)
O (0.634, 0.647, 0.148)
O (0.646, 0.859, 0.803)
O (0.854, 0.359, 0.197)
O (0.866, 0.147, 0.852)
O (0.891, 0.647, 0.648)
O (0.893, 0.847, 0.317)